[1]
Density functional theory data (PBE) for Ac2TaS5 after structural relaxation.

Results
Space group ... No. 107
Mass density ... 6.5 Mg/m³

abc: 6.440 6.440 6.440
angles: 113.64 113.64 101.43
Atoms (fractional coordinates):
Ac (0.000, 0.500, 0.500)
Ac (0.500, 0.000, 0.500)
Ta (0.188, 0.188, 0.000)
S (0.005, 0.005, 0.521)
S (0.005, 0.484, 0.000)
S (0.484, 0.005, 0.000)
S (0.484, 0.484, 0.479)
S (0.922, 0.922, 0.000)

***

[2]
Density functional theory data (PBE) for Ac3TaS7 after structural relaxation.

Results
Space group ... No. 20
Mass density ... 5.8 Mg/m³

abc: 8.307 8.307 9.437
angles: 90.00 90.00 107.96
Atoms (fractional coordinates):
Ac (0.051, 0.051, 0.000)
Ac (0.056, 0.495, 0.267)
Ac (0.495, 0.056, 0.733)
Ac (0.505, 0.944, 0.233)
Ac (0.944, 0.505, 0.767)
Ac (0.949, 0.949, 0.500)
Ta (0.492, 0.492, 0.500)
Ta (0.508, 0.508, 0.000)
S (0.131, 0.869, 0.750)
S (0.138, 0.862, 0.250)
S (0.185, 0.430, 0.977)
S (0.207, 0.457, 0.556)
S (0.430, 0.185, 0.023)
S (0.443, 0.557, 0.250)
S (0.457, 0.207, 0.444)
S (0.543, 0.793, 0.944)
S (0.557, 0.443, 0.750)
S (0.570, 0.815, 0.523)
S (0.793, 0.543, 0.056)
S (0.815, 0.570, 0.477)
S (0.862, 0.138, 0.750)
S (0.869, 0.131, 0.250)

***

[3]
Density functional theory data (PBE) for AcTa2S7 after structural relaxation.

Results
Space group ... No. 65
Mass density ... 6.0 Mg/m³

abc: 7.293 7.293 4.726
angles: 90.00 90.00 115.84
Atoms (fractional coordinates):
Ac (0.000, 0.000, 0.000)
Ta (0.304, 0.696, 0.500)
Ta (0.696, 0.304, 0.500)
S (0.052, 0.316, 0.500)
S (0.287, 0.713, 0.000)
S (0.316, 0.052, 0.500)
S (0.500, 0.500, 0.500)
S (0.684, 0.948, 0.500)
S (0.713, 0.287, 0.000)
S (0.948, 0.684, 0.500)

***

| no. | E_form (uncorrected) (eV per atom) |
| --- | --- |
| 1 | -1.542 |
| 2 | -1.760 |
| 3 | -0.988 |